## Ag2SCl (PBE-GGA)

Data for a relaxed Ag2SCl crystal.

Properties
The calculation puts the polymorph energy (0 for the lowest one) at 358 meV per atom. Its space-group type is Fm-3m. As for the calculated total energy: -2.7418 eV/atom.

Structure (POSCAR):
```
Ag2SCl
1.0
0.000 3.359 3.359
3.359 0.000 3.359
3.359 3.359 0.000
Ag S Cl
2 1 1
Direct
0.250 0.250 0.250
0.750 0.750 0.750
0.000 0.000 0.000
0.500 0.500 0.500
```